Density functional theory data (PBEsol) for a geometry-optimized SrCaLa2P structure.

a b c (Å): 5.5087 5.5087 5.5546
angles (deg): 90.00 90.00 90.00
Last column: nearest neighbours and their distance in Å.
Positions (direct):
Sr1 0.0000 0.0000 0.5000  2 Ca 2.78
Ca1 0.0000 0.0000 0.0000  4 La 2.75, 2 Sr 2.78
P1 0.5000 0.5000 0.5000  4 Sr 3.90, 8 La 3.91
La1 0.0000 0.5000 0.0000  2 Ca 2.75
La2 0.5000 0.0000 0.0000  2 Ca 2.75

Symmetry = P4/mmm (123)
Formation energy from the elements = 0.925 eV per atom
Spin magnetization = 0.000 μB/cell